[1]
Pt3WAu, optimized geometry, DFT PBE; formation energy = 1224 meV per atom; Fermi-level density of states = 4.788 states/eV/cell; electronic total energy = -5.65 eV per atom
1.0
4.841 0.000 0.000
0.000 4.841 0.000
0.000 0.000 4.841
Pt W Au
3 1 1
Direct
0.000 0.000 0.500
0.000 0.500 0.000
0.500 0.000 0.000
0.000 0.000 0.000
0.500 0.500 0.500


[2]
HfCuTe2, optimized geometry, DFT PBE; Fermi-level density of states = 4.583 states/eV/cell; electronic total energy = -4.81 eV per atom; formation energy from raw total energies = 271 meV/atom
1.0
1.799 1.038 8.990
-1.799 1.038 8.990
0.000 -2.077 8.990
Hf Cu Te
1 1 2
Direct
0.000 0.000 0.000
0.500 0.500 0.500
0.104 0.104 0.104
0.896 0.896 0.896


[3]
NdCu9Au2, optimized geometry, DFT PBE; formation energy = -123 meV per atom; Fermi-level density of states = 6.069 states/eV/cell; electronic total energy = -4.14 eV per atom
1.0
2.524 1.457 7.955
-2.524 1.457 7.955
0.000 -2.914 7.955
Nd Cu Au
1 9 2
Direct
0.000 0.000 0.000
0.081 0.588 0.588
0.334 0.334 0.334
0.412 0.412 0.919
0.412 0.919 0.412
0.500 0.500 0.500
0.588 0.081 0.588
0.588 0.588 0.081
0.666 0.666 0.666
0.919 0.412 0.412
0.142 0.142 0.142
0.858 0.858 0.858


[4]
Er2TlIn2, optimized geometry, DFT PBE; formation energy = -343 meV per atom; Fermi-level density of states = 3.147 states/eV/cell; electronic total energy = -3.74 eV per atom
1.0
2.354 -8.056 0.000
2.354 8.056 0.000
0.000 0.000 3.425
Er Tl In
2 1 2
Direct
0.112 0.888 0.000
0.888 0.112 0.000
0.500 0.500 0.500
0.302 0.698 0.500
0.698 0.302 0.500


[5]
Hg3PdCl2F6, optimized geometry, DFT PBE; Fermi-level density of states = 0.015 states/eV/cell; electronic total energy = -2.84 eV per atom; formation energy from raw total energies = -1090 meV/atom
1.0
6.066 -3.634 0.000
6.066 3.634 0.000
-0.331 0.000 5.411
Hg Pd Cl F
3 1 2 6
Direct
0.000 0.000 0.000
0.000 0.500 0.500
0.500 0.000 0.500
0.500 0.500 0.500
0.181 0.181 0.853
0.819 0.819 0.147
0.188 0.650 0.694
0.337 0.337 0.311
0.350 0.812 0.306
0.650 0.188 0.694
0.663 0.663 0.689
0.812 0.350 0.306


[6]
TbNiPb2, optimized geometry, DFT PBE; formation energy = 192 meV per atom; Fermi-level density of states = 3.167 states/eV/cell; electronic total energy = -4.26 eV per atom
1.0
1.754 1.013 10.074
-1.754 1.013 10.074
0.000 -2.025 10.074
Tb Ni Pb
1 1 2
Direct
0.000 0.000 0.000
0.500 0.500 0.500
0.106 0.106 0.106
0.894 0.894 0.894